[1]
The following is a GGA-PBE calculation of crystalline Li2Pu2Cl5 at its relaxed geometry, from Alexandria.

a b c (Å): 9.559 9.559 9.559
angles (deg): 65.58 131.88 138.22
Atoms (fractional coordinates):
Li (0.000, 0.000, 0.000)
Li (0.000, 0.500, 0.500)
Li (0.045, 0.196, 0.349)
Li (0.847, 0.696, 0.651)
Pu (0.412, 0.582, 0.028)
Pu (0.412, 0.884, 0.330)
Pu (0.554, 0.082, 0.670)
Pu (0.554, 0.384, 0.972)
Cl (0.152, 0.715, 0.722)
Cl (0.152, 0.930, 0.938)
Cl (0.470, 0.342, 0.627)
Cl (0.532, 0.279, 0.315)
Cl (0.532, 0.717, 0.753)
Cl (0.715, 0.842, 0.373)
Cl (0.964, 0.217, 0.685)
Cl (0.964, 0.779, 0.247)
Cl (0.993, 0.215, 0.062)
Cl (0.993, 0.430, 0.278)

Calculated values
* space-group type: Ima2 (46)
* formation energy (no corrections): -1506 meV/atom
* total magnetization: 25.99 μB per cell

=====

[2]
The following is a GGA-PBE calculation of crystalline Ti2VSe at its relaxed geometry, from Alexandria.

a b c (Å): 3.111 3.111 7.828
angles (deg): 104.17 104.17 66.41
Atoms (fractional coordinates):
Ti (0.039, 0.039, 0.255)
Ti (0.961, 0.961, 0.745)
V (0.500, 0.500, 0.000)
Se (0.500, 0.500, 0.500)

Calculated values
* space-group type: C2/m (12)
* formation energy (no corrections): -277 meV/atom
* total magnetization: 0.00 μB per cell

=====

[3]
The following is a GGA-PBE calculation of crystalline La3Cu2Ag4 at its relaxed geometry, from Alexandria.

a b c (Å): 6.014 6.014 8.909
angles (deg): 110.00 110.00 45.99
Atoms (fractional coordinates):
La (0.000, 0.000, 0.000)
La (0.330, 0.330, 0.341)
La (0.670, 0.670, 0.659)
Cu (0.397, 0.397, 0.724)
Cu (0.603, 0.603, 0.276)
Ag (0.051, 0.051, 0.378)
Ag (0.281, 0.281, 0.937)
Ag (0.719, 0.719, 0.063)
Ag (0.949, 0.949, 0.622)

Calculated values
* space-group type: C2/m (12)
* total magnetization: 0.00 μB per cell
* DFT formation energy: -245 meV per atom

=====

[4]
The following is a GGA-PBE calculation of crystalline AcZnSnBi at its relaxed geometry, from Alexandria.

a b c (Å): 5.539 5.539 5.539
angles (deg): 60.00 60.00 60.00
Atoms (fractional coordinates):
Ac (0.000, 0.000, 0.000)
Zn (0.750, 0.750, 0.750)
Sn (0.250, 0.250, 0.250)
Bi (0.500, 0.500, 0.500)

Calculated values
* space-group type: F-43m (216)
* total magnetization: 0.00 μB per cell
* DFT formation energy: -221 meV per atom

=====

[5]
The following is a GGA-PBE calculation of crystalline Y3Zn5In12 at its relaxed geometry, from Alexandria.

a b c (Å): 14.570 14.570 14.570
angles (deg): 109.47 109.47 109.47
Atoms (fractional coordinates):
Y (0.125, 0.250, 0.375)
Y (0.125, 0.375, 0.750)
Y (0.250, 0.375, 0.125)
Y (0.250, 0.875, 0.625)
Y (0.375, 0.125, 0.250)
Y (0.375, 0.750, 0.125)
Y (0.625, 0.250, 0.875)
Y (0.625, 0.875, 0.750)
Y (0.750, 0.125, 0.375)
Y (0.750, 0.625, 0.875)
Y (0.875, 0.625, 0.250)
Y (0.875, 0.750, 0.625)
Zn (0.000, 0.000, 0.000)
Zn (0.000, 0.000, 0.500)
Zn (0.000, 0.500, 0.000)
Zn (0.000, 0.500, 0.500)
Zn (0.125, 0.750, 0.875)
Zn (0.125, 0.875, 0.250)
Zn (0.250, 0.125, 0.875)
Zn (0.250, 0.625, 0.375)
Zn (0.375, 0.250, 0.625)
Zn (0.375, 0.625, 0.750)
Zn (0.500, 0.000, 0.000)
Zn (0.500, 0.000, 0.500)
Zn (0.500, 0.500, 0.000)
Zn (0.500, 0.500, 0.500)
Zn (0.625, 0.375, 0.250)
Zn (0.625, 0.750, 0.375)
Zn (0.750, 0.375, 0.625)
Zn (0.750, 0.875, 0.125)
Zn (0.875, 0.125, 0.750)
Zn (0.875, 0.250, 0.125)
In (0.043, 0.214, 0.116)
In (0.043, 0.329, 0.926)
In (0.074, 0.616, 0.403)
In (0.074, 0.957, 0.671)
In (0.097, 0.714, 0.671)
In (0.097, 0.884, 0.426)
In (0.116, 0.043, 0.214)
In (0.116, 0.574, 0.903)
In (0.171, 0.214, 0.597)
In (0.171, 0.457, 0.574)
In (0.214, 0.116, 0.043)
In (0.214, 0.597, 0.171)
In (0.286, 0.329, 0.903)
In (0.286, 0.457, 0.384)
In (0.329, 0.903, 0.286)
In (0.329, 0.926, 0.043)
In (0.384, 0.286, 0.457)
In (0.384, 0.597, 0.926)
In (0.403, 0.074, 0.616)
In (0.403, 0.829, 0.786)
In (0.426, 0.097, 0.884)
In (0.426, 0.829, 0.543)
In (0.457, 0.384, 0.286)
In (0.457, 0.574, 0.171)
In (0.543, 0.426, 0.829)
In (0.543, 0.616, 0.714)
In (0.574, 0.171, 0.457)
In (0.574, 0.903, 0.116)
In (0.597, 0.171, 0.214)
In (0.597, 0.926, 0.384)
In (0.616, 0.403, 0.074)
In (0.616, 0.714, 0.543)
In (0.671, 0.074, 0.957)
In (0.671, 0.097, 0.714)
In (0.714, 0.543, 0.616)
In (0.714, 0.671, 0.097)
In (0.786, 0.403, 0.829)
In (0.786, 0.884, 0.957)
In (0.829, 0.543, 0.426)
In (0.829, 0.786, 0.403)
In (0.884, 0.426, 0.097)
In (0.884, 0.957, 0.786)
In (0.903, 0.116, 0.574)
In (0.903, 0.286, 0.329)
In (0.926, 0.043, 0.329)
In (0.926, 0.384, 0.597)
In (0.957, 0.671, 0.074)
In (0.957, 0.786, 0.884)

Calculated values
* space-group type: Ia-3d (230)
* total magnetization: 0.00 μB per cell
* DFT formation energy: 191 meV per atom

=====

[6]
The following is a GGA-PBE calculation of crystalline InHg2Br8 at its relaxed geometry, from Alexandria.

a b c (Å): 7.148 7.148 11.504
angles (deg): 105.94 105.94 55.33
Atoms (fractional coordinates):
In (0.000, 0.000, 0.000)
Hg (0.331, 0.331, 0.442)
Hg (0.669, 0.669, 0.558)
Br (0.113, 0.596, 0.880)
Br (0.171, 0.171, 0.526)
Br (0.404, 0.887, 0.120)
Br (0.462, 0.462, 0.319)
Br (0.538, 0.538, 0.681)
Br (0.596, 0.113, 0.880)
Br (0.829, 0.829, 0.474)
Br (0.887, 0.404, 0.120)

Calculated values
* space-group type: C2/m (12)
* formation energy (no corrections): -401 meV/atom
* total magnetization: 0.00 μB per cell

=====

[7]
The following is a GGA-PBE calculation of crystalline Ac6Pm3Dy at its relaxed geometry, from Alexandria.

a b c (Å): 3.878 6.673 31.105
angles (deg): 93.80 90.03 90.00
Atoms (fractional coordinates):
Ac (0.000, 0.109, 0.300)
Ac (0.000, 0.891, 0.700)
Ac (0.001, 0.196, 0.598)
Ac (0.002, 0.271, 0.798)
Ac (0.002, 0.365, 0.098)
Ac (0.499, 0.135, 0.903)
Ac (0.499, 0.309, 0.404)
Ac (0.501, 0.691, 0.596)
Ac (0.501, 0.865, 0.097)
Ac (0.998, 0.635, 0.902)
Ac (0.998, 0.729, 0.202)
Ac (0.999, 0.804, 0.402)
Pm (0.498, 0.235, 0.200)
Pm (0.499, 0.398, 0.698)
Pm (0.500, 0.000, 0.500)
Pm (0.500, 0.500, 0.000)
Pm (0.501, 0.602, 0.302)
Pm (0.502, 0.765, 0.800)
Dy (0.000, 0.000, 0.000)
Dy (0.000, 0.500, 0.500)

Calculated values
* space-group type: P-1 (2)
* total magnetization: 0.00 μB per cell
* DFT formation energy: 36 meV per atom

=====

[8]
The following is a GGA-PBE calculation of crystalline Pm5Pr6Nd at its relaxed geometry, from Alexandria.

a b c (Å): 8.256 8.256 10.403
angles (deg): 90.03 90.03 143.16
Atoms (fractional coordinates):
Pm (0.000, 0.000, 0.000)
Pm (0.333, 0.667, 0.000)
Pm (0.333, 0.667, 0.500)
Pm (0.667, 0.333, 0.000)
Pm (0.667, 0.333, 0.500)
Pr (0.167, 0.833, 0.250)
Pr (0.167, 0.833, 0.750)
Pr (0.500, 0.500, 0.250)
Pr (0.500, 0.500, 0.750)
Pr (0.833, 0.167, 0.250)
Pr (0.833, 0.167, 0.750)
Nd (0.000, 0.000, 0.500)

Calculated values
* space-group type: C2/m (12)
* total magnetization: 0.00 μB per cell
* DFT formation energy: 12 meV per atom

=====

[9]
The following is a GGA-PBE calculation of crystalline Nd2Er3Mg at its relaxed geometry, from Alexandria.

a b c (Å): 7.593 7.593 6.771
angles (deg): 93.55 93.55 99.01
Atoms (fractional coordinates):
Nd (0.070, 0.603, 0.802)
Nd (0.397, 0.930, 0.698)
Nd (0.603, 0.070, 0.302)
Nd (0.930, 0.397, 0.198)
Er (0.048, 0.952, 0.250)
Er (0.293, 0.327, 0.513)
Er (0.327, 0.293, 0.013)
Er (0.673, 0.707, 0.987)
Er (0.707, 0.673, 0.487)
Er (0.952, 0.048, 0.750)
Mg (0.320, 0.680, 0.250)
Mg (0.680, 0.320, 0.750)

Calculated values
* distance to the lowest polymorph of the same formula: 0.000 eV per atom
* space-group type: C2/c (15)
* total magnetization: 0.00 μB per cell
* DFT formation energy: 131 meV per atom

=====

[10]
The following is a GGA-PBE calculation of crystalline H2SCl at its relaxed geometry, from Alexandria.

a b c (Å): 3.918 3.918 3.918
angles (deg): 60.00 60.00 60.00
Atoms (fractional coordinates):
H (0.250, 0.250, 0.250)
H (0.750, 0.750, 0.750)
S (0.000, 0.000, 0.000)
Cl (0.500, 0.500, 0.500)

Calculated values
* distance to the lowest polymorph of the same formula: 1.579 eV per atom
* space-group type: Fm-3m (225)
* total magnetization: 0.00 μB per cell